Record 1
4
Lattice="3.434 0.000 0.000 0.000 4.563 0.000 0.000 0.000 5.296" Properties=species:S:1:pos:R:3 comment="La2RhW, relaxed, DFT PBEsol" crystal_system=orthorhombic e_form_ev_per_atom=0.3723 pbc="T T T"
La 0.000 0.000 0.000
La 1.717 0.000 2.648
Rh 0.000 2.282 2.648
W 1.717 2.282 0.000

=====

Record 2
4
Lattice="1.425 0.823 10.103 -1.425 0.823 10.103 0.000 -1.645 10.103" Properties=species:S:1:pos:R:3 comment="LaRhW2, relaxed, DFT PBEsol" crystal_system=trigonal e_form_ev_per_atom=0.5679 pbc="T T T"
La 0.000 0.000 0.000
Rh 0.000 0.000 15.155
W 0.000 0.000 7.203
W 0.000 0.000 23.107

=====

Record 3
4
Lattice="3.126 -4.649 0.000 3.126 4.649 0.000 -1.236 0.000 2.857" Properties=species:S:1:pos:R:3 comment="La2RhW, relaxed, DFT PBEsol" crystal_system=monoclinic e_form_ev_per_atom=0.4138 pbc="T T T"
La 1.563 2.325 0.000
La 1.563 -2.325 0.000
Rh -0.618 0.000 1.429
W 2.508 0.000 1.429

=====

Record 4
4
Lattice="4.166 0.000 0.000 0.000 1.916 5.365 0.000 -1.916 5.365" Properties=species:S:1:pos:R:3 comment="LaYRh2, relaxed, DFT PBEsol" crystal_system=orthorhombic e_form_ev_per_atom=-0.6959 pbc="T T T"
La 0.000 0.000 0.000
Y 2.083 0.000 3.024
Rh 0.000 0.000 7.853
Rh 2.083 0.000 5.997

=====

Record 5
4
Lattice="0.000 3.697 3.697 3.697 0.000 3.697 3.697 3.697 0.000" Properties=species:S:1:pos:R:3 comment="La2YRh, relaxed, DFT PBEsol" crystal_system=cubic e_form_ev_per_atom=0.0213 pbc="T T T"
La 1.849 1.849 1.849
La 5.546 5.546 5.546
Y 0.000 0.000 0.000
Rh 3.697 3.697 3.697

=====

Record 6
4
Lattice="1.930 1.114 9.348 -1.930 1.114 9.348 0.000 -2.228 9.348" Properties=species:S:1:pos:R:3 comment="La2YRh, relaxed, DFT PBEsol" crystal_system=trigonal e_form_ev_per_atom=-0.2509 pbc="T T T"
La 0.000 0.000 6.380
La 0.000 0.000 21.664
Y 0.000 0.000 0.000
Rh 0.000 0.000 14.022

=====

Record 7
4
Lattice="0.000 3.645 3.645 3.645 0.000 3.645 3.645 3.645 0.000" Properties=species:S:1:pos:R:3 comment="La2YRh, relaxed, DFT PBEsol" crystal_system=cubic e_form_ev_per_atom=-0.0644 pbc="T T T"
La 0.000 0.000 0.000
La 1.822 1.822 1.822
Y 5.467 5.467 5.467
Rh 3.645 3.645 3.645

=====

Record 8
10
Lattice="7.686 0.000 0.000 0.000 7.686 0.000 0.000 0.000 4.050" Properties=species:S:1:pos:R:3 comment="La2YRh2, relaxed, DFT PBEsol" crystal_system=tetragonal e_form_ev_per_atom=-0.5807 pbc="T T T"
La 1.239 2.604 0.000
La 2.604 6.447 0.000
La 5.082 1.239 0.000
La 6.447 5.082 0.000
Y 0.000 0.000 2.025
Y 3.843 3.843 2.025
Rh 1.097 4.940 2.025
Rh 2.746 1.097 2.025
Rh 4.940 6.589 2.025
Rh 6.589 2.746 2.025

=====

Record 9
4
Lattice="3.369 0.000 0.000 0.000 3.447 0.000 -0.014 0.000 7.095" Properties=species:S:1:pos:R:3 comment="LaYRh2, relaxed, DFT PBEsol" crystal_system=monoclinic e_form_ev_per_atom=-0.6685 pbc="T T T"
La 0.000 0.000 0.000
Y -0.007 0.000 3.548
Rh 1.677 1.723 1.881
Rh 1.679 1.723 5.214

=====

Record 10
4
Lattice="-1.874 2.749 5.262 1.874 -2.749 5.262 1.874 2.749 -5.262" Properties=species:S:1:pos:R:3 comment="La2YRh, relaxed, DFT PBEsol" crystal_system=orthorhombic e_form_ev_per_atom=-0.3529 pbc="T T T"
La 0.000 0.000 2.086
La 0.000 0.000 8.437
Y 0.000 2.749 0.000
Rh 1.874 0.000 0.000

=====

Record 11
4
Lattice="4.961 0.000 0.000 0.000 4.961 0.000 0.000 0.000 3.357" Properties=species:S:1:pos:R:3 comment="LaYRh2, relaxed, DFT PBEsol" crystal_system=tetragonal e_form_ev_per_atom=-0.6597 pbc="T T T"
La 0.000 0.000 0.000
Y 2.480 2.480 0.000
Rh 0.000 2.480 1.678
Rh 2.480 0.000 1.678

=====

Record 12
4
Lattice="5.226 0.000 0.000 0.000 5.226 0.000 0.000 0.000 3.764" Properties=species:S:1:pos:R:3 comment="La2YRh, relaxed, DFT PBEsol" crystal_system=tetragonal e_form_ev_per_atom=-0.0585 pbc="T T T"
La 0.000 2.613 0.000
La 2.613 0.000 0.000
Y 0.000 0.000 1.882
Rh 2.613 2.613 1.882

=====

| no. | N(E_F) (states/eV/atom) |
| --- | --- |
| 1 | 0.627 |
| 2 | 1.154 |
| 3 | 0.874 |
| 4 | 0.407 |
| 5 | 1.524 |
| 6 | 1.622 |
| 7 | 1.637 |
| 8 | 0.805 |
| 9 | 0.480 |
| 10 | 0.621 |
| 11 | 0.505 |
| 12 | 0.869 |